The following is a DFT calculation (GGA+U) of crystalline WI2F at its relaxed geometry.

Cell lengths 7.5392, 7.5392, 8.1799 Å; angles 90.00, 90.00, 90.00 degrees
Last column: nearest neighbours and their distance in Å.
Space group I-42d (No. 122)
Asymmetric unit:
W 0.0000 0.0000 0.0000  4 I 2.79
I 0.2373 0.7500 0.1250  2 W 2.79, 2 F 2.92
F 0.0000 0.0000 0.5000  4 I 2.92

Results
N(E_F)	2.63	states/eV/f.u.
magnetic moment	3.00	μB/f.u.
uncorrected energy	-3.0643	eV per atom
volume	465	Å³ per cell